Record 1
Entry from Alexandria: a relaxed structure of POsRu2 (PBE-GGA).

Geometry as POSCAR:
```
POsRu2
1.0
4.598 -1.413 0.000
4.598 1.413 0.000
-0.047 0.000 4.308
P Os Ru
1 1 2
Cartesian
0.000 0.000 0.000
4.575 0.000 2.154
2.004 0.000 3.200
7.145 0.000 1.108
```

As for the symmetry: C2/m. The calculation puts the total energy at -8.676 eV/atom. Its crystal system is monoclinic. As for the formation energy: 0.5 eV per formula unit.

Record 2
Entry from Alexandria: a relaxed structure of Sc2PaMn9 (PBE-GGA).

Geometry as POSCAR:
```
Sc2PaMn9
1.0
4.865 0.000 0.000
-2.433 4.214 0.000
0.000 0.000 16.289
Sc Pa Mn
4 2 18
Cartesian
0.000 2.809 0.580
0.000 2.809 7.565
2.433 1.405 8.724
2.433 1.405 15.710
0.000 2.809 4.072
2.433 1.405 12.217
0.000 0.000 0.000
0.000 0.000 4.072
0.000 0.000 8.145
0.000 0.000 12.217
0.000 1.431 10.139
0.000 1.431 14.295
-1.193 3.498 10.139
-1.193 3.498 14.295
0.000 2.809 12.217
1.239 0.716 1.994
1.239 0.716 6.151
1.193 3.498 10.139
1.193 3.498 14.295
2.433 1.405 4.072
3.626 0.716 1.994
3.626 0.716 6.151
2.433 2.782 1.994
2.433 2.782 6.151
```

As for the symmetry: P6_3/mmc. The calculation puts the total energy at -8.760 eV/atom. Its crystal system is hexagonal. As for the formation energy: -0.4 eV per formula unit.

Record 3
Entry from Alexandria: a relaxed structure of Cs2HgTe4As (PBE-GGA).

Geometry as POSCAR:
```
Cs2HgTe4As
1.0
0.000 7.602 13.428
3.525 0.000 13.428
3.525 7.602 0.000
Cs Hg Te As
4 2 8 2
Cartesian
2.643 5.701 1.563
4.406 9.502 8.276
2.643 5.701 18.579
4.406 9.502 25.293
0.881 1.900 3.357
6.168 13.303 23.498
2.815 3.434 4.908
4.234 7.235 11.622
2.472 7.969 4.908
2.472 3.434 15.234
4.577 11.770 11.622
4.577 7.235 21.947
2.815 7.969 15.234
4.234 11.770 21.947
2.643 5.701 10.071
4.406 9.502 16.785
```

As for the symmetry: Fddd. The calculation puts the total energy at -2.831 eV/atom. Its crystal system is orthorhombic.

Record 4
Entry from Alexandria: a relaxed structure of Sc2ZnCr (PBE-GGA).

Geometry as POSCAR:
```
Sc2ZnCr
1.0
-2.068 2.068 4.365
2.068 -2.068 4.365
2.068 2.068 -4.365
Sc Zn Cr
2 1 1
Cartesian
0.000 0.000 0.000
0.000 2.068 2.183
2.068 0.000 2.183
0.000 0.000 4.365
```

As for the symmetry: I-4m2. The calculation puts the total energy at -5.812 eV/atom. Its crystal system is tetragonal. As for the formation energy: 0.3 eV per formula unit.

Record 5
Entry from Alexandria: a relaxed structure of MgSi2MoAu (PBE-GGA).

Geometry as POSCAR:
```
MgSi2MoAu
1.0
4.669 0.000 0.000
0.000 4.669 0.000
0.000 0.000 5.182
Mg Si Mo Au
1 2 1 1
Cartesian
0.000 0.000 0.000
0.000 2.334 2.591
2.334 0.000 2.591
0.000 0.000 2.591
2.334 2.334 0.000
```

As for the symmetry: P4/mmm. The calculation puts the total energy at -4.600 eV/atom. Its crystal system is tetragonal.

Record 6
Entry from Alexandria: a relaxed structure of BaHg2SbS4 (PBE-GGA).

Geometry as POSCAR:
```
BaHg2SbS4
1.0
-3.500 3.941 4.110
3.500 -3.941 4.110
3.500 3.941 -4.110
Ba Hg Sb S
1 2 1 4
Cartesian
0.000 0.000 0.000
3.500 0.000 1.407
0.000 3.941 2.702
0.000 0.000 4.110
1.538 -1.293 2.562
1.962 5.234 -1.548
1.962 2.648 1.548
1.538 1.293 5.658
```

As for the symmetry: I222. The calculation puts the total energy at -3.432 eV/atom. Its crystal system is orthorhombic.

Record 7
Entry from Alexandria: a relaxed structure of LiInAsIr (PBE-GGA).

Geometry as POSCAR:
```
LiInAsIr
1.0
0.000 3.205 3.205
3.205 0.000 3.205
3.205 3.205 0.000
Li In As Ir
1 1 1 1
Cartesian
0.000 0.000 0.000
1.602 1.602 1.602
4.807 4.807 4.807
3.205 3.205 3.205
```

As for the symmetry: F-43m. The calculation puts the total energy at -4.735 eV/atom. Its crystal system is cubic. As for the formation energy: -0.8 eV per formula unit.

Record 8
Entry from Alexandria: a relaxed structure of Na2TlPdF6 (PBE-GGA).

Geometry as POSCAR:
```
Na2TlPdF6
1.0
5.872 0.000 0.000
2.822 5.225 0.000
2.928 -1.570 5.420
Na Tl Pd F
2 1 1 6
Cartesian
0.000 0.000 0.000
2.787 1.711 2.413
5.773 0.036 3.345
5.726 3.447 0.294
3.409 0.310 4.267
1.885 -0.090 1.365
4.867 1.991 1.393
7.066 2.008 4.486
7.414 3.435 1.398
9.587 3.149 4.481
```

As for the symmetry: P1. The calculation puts the total energy at -4.125 eV/atom. Its crystal system is triclinic.